Entry 1:
# Ho2Sc3Zn3 (PBE, relaxed)
data_Ho2Sc3Zn3
_chemical_formula_sum 'Ho4 Sc6 Zn6'
_space_group_name_H-M_alt 'I m m m'
_space_group_IT_number 71
_space_group_name_Hall '-I 2 2'
_cell_length_a 3.477
_cell_length_b 4.880
_cell_length_c 20.507
_cell_angle_alpha 90.00
_cell_angle_beta 90.00
_cell_angle_gamma 90.00
loop_
_atom_site_label
_atom_site_fract_x
_atom_site_fract_y
_atom_site_fract_z
Ho1 0.000 0.000 0.227
Sc1 0.000 0.000 0.000
Sc2 0.000 0.500 0.116
Zn1 0.000 0.000 0.500
Zn2 0.000 0.500 0.390
# Formation energy from the elements in kJ/mol of atoms: -22
# Size of the total moment in μB per formula unit: 0.00
# Density of states at the Fermi level in states/eV/cell: 14.17
# Mass density in g/cm3: 6.307

Entry 2:
# Ho2ScZn (PBE, relaxed)
data_Ho2ScZn
_chemical_formula_sum 'Ho8 Sc4 Zn4'
_space_group_name_H-M_alt 'F m -3 m'
_space_group_IT_number 225
_space_group_name_Hall '-F 4 2 3'
_cell_length_a 7.341
_cell_length_b 7.341
_cell_length_c 7.341
_cell_angle_alpha 90.00
_cell_angle_beta 90.00
_cell_angle_gamma 90.00
loop_
_atom_site_label
_atom_site_fract_x
_atom_site_fract_y
_atom_site_fract_z
Ho1 0.250 0.250 0.250
Sc1 0.000 0.000 0.000
Zn1 0.000 0.000 0.500
# Formation energy from the elements in kJ/mol of atoms: -1
# Size of the total moment in μB per formula unit: 0.01
# Density of states at the Fermi level in states/eV/cell: 16.53
# Mass density in g/cm3: 7.393

Entry 3:
# Ho2ScZn (PBE, relaxed)
data_Ho2ScZn
_chemical_formula_sum 'Ho6 Sc3 Zn3'
_space_group_name_H-M_alt 'R 3 m'
_space_group_IT_number 160
_space_group_name_Hall 'R 3 -2"'
_cell_length_a 3.5039
_cell_length_b 3.5039
_cell_length_c 29.7948
_cell_angle_alpha 90.00
_cell_angle_beta 90.00
_cell_angle_gamma 120.00
loop_
_atom_site_label
_atom_site_fract_x
_atom_site_fract_y
_atom_site_fract_z
Ho1 0.0000 0.0000 0.0000
Ho2 0.0000 0.0000 0.1814
Sc1 0.0000 0.0000 0.4241
Zn1 0.0000 0.0000 0.5903
# Formation energy from the elements in kJ/mol of atoms: -4
# Size of the total moment in μB per formula unit: 0.62
# Density of states at the Fermi level in states/eV/cell: 17.31
# Mass density in g/cm3: 6.922

Entry 4:
# HoScZn (PBE, relaxed)
data_HoScZn
_chemical_formula_sum 'Ho2 Sc2 Zn2'
_space_group_name_H-M_alt 'I 4 m m'
_space_group_IT_number 107
_space_group_name_Hall 'I 4 -2'
_cell_length_a 3.442
_cell_length_b 3.442
_cell_length_c 11.747
_cell_angle_alpha 90.00
_cell_angle_beta 90.00
_cell_angle_gamma 90.00
loop_
_atom_site_label
_atom_site_fract_x
_atom_site_fract_y
_atom_site_fract_z
Ho1 0.000 0.000 0.000
Sc1 0.000 0.000 0.291
Zn1 0.000 0.000 0.661
# Formation energy from the elements in kJ/mol of atoms: -20
# Size of the total moment in μB per formula unit: 0.00
# Density of states at the Fermi level in states/eV/cell: 7.75
# Mass density in g/cm3: 6.571

Entry 5:
# HoScZn10 (PBE, relaxed)
data_HoScZn10
_chemical_formula_sum 'Ho1 Sc1 Zn10'
_space_group_name_H-M_alt 'P m m m'
_space_group_IT_number 47
_space_group_name_Hall '-P 2 2'
_cell_length_a 4.206
_cell_length_b 5.244
_cell_length_c 9.047
_cell_angle_alpha 90.00
_cell_angle_beta 90.00
_cell_angle_gamma 90.00
loop_
_atom_site_label
_atom_site_fract_x
_atom_site_fract_y
_atom_site_fract_z
Ho1 0.000 0.000 0.000
Sc1 0.000 0.500 0.500
Zn1 0.000 0.000 0.340
Zn2 0.000 0.500 0.173
Zn3 0.500 0.000 0.500
Zn4 0.500 0.250 0.251
Zn5 0.500 0.500 0.000
# Formation energy from the elements in kJ/mol of atoms: -23
# Size of the total moment in μB per formula unit: 0.00
# Density of states at the Fermi level in states/eV/cell: 5.18
# Mass density in g/cm3: 7.190

Entry 6:
# Ho2ScZn (PBE, relaxed)
data_Ho2ScZn
_chemical_formula_sum 'Ho6 Sc3 Zn3'
_space_group_name_H-M_alt 'R -3 m'
_space_group_IT_number 166
_space_group_name_Hall '-R 3 2"'
_cell_length_a 3.3515
_cell_length_b 3.3515
_cell_length_c 34.2919
_cell_angle_alpha 90.00
_cell_angle_beta 90.00
_cell_angle_gamma 120.00
loop_
_atom_site_label
_atom_site_fract_x
_atom_site_fract_y
_atom_site_fract_z
Ho1 0.0000 0.0000 0.0888
Sc1 0.0000 0.0000 0.5000
Zn1 0.0000 0.0000 0.0000
# Formation energy from the elements in kJ/mol of atoms: 24
# Size of the total moment in μB per formula unit: 0.00
# Density of states at the Fermi level in states/eV/cell: 9.66
# Mass density in g/cm3: 6.574

Entry 7:
# HoSc2Zn9 (PBE, relaxed)
data_HoSc2Zn9
_chemical_formula_sum 'Ho3 Sc6 Zn27'
_space_group_name_H-M_alt 'R -3 m'
_space_group_IT_number 166
_space_group_name_Hall '-R 3 2"'
_cell_length_a 5.3043
_cell_length_b 5.3043
_cell_length_c 25.1705
_cell_angle_alpha 90.00
_cell_angle_beta 90.00
_cell_angle_gamma 120.00
loop_
_atom_site_label
_atom_site_fract_x
_atom_site_fract_y
_atom_site_fract_z
Ho1 0.0000 0.0000 0.0000
Sc1 0.0000 0.0000 0.1421
Zn1 0.0000 0.0000 0.3349
Zn2 0.0000 0.0000 0.5000
Zn3 0.0074 0.5037 0.9151
# Formation energy from the elements in kJ/mol of atoms: -31
# Size of the total moment in μB per formula unit: 0.00
# Density of states at the Fermi level in states/eV/cell: 18.91
# Mass density in g/cm3: 6.851

Entry 8:
# HoSc2Zn4 (PBE, relaxed)
data_HoSc2Zn4
_chemical_formula_sum 'Ho2 Sc4 Zn8'
_space_group_name_H-M_alt 'I 4/m m m'
_space_group_IT_number 139
_space_group_name_Hall '-I 4 2'
_cell_length_a 4.900
_cell_length_b 4.900
_cell_length_c 12.424
_cell_angle_alpha 90.00
_cell_angle_beta 90.00
_cell_angle_gamma 90.00
loop_
_atom_site_label
_atom_site_fract_x
_atom_site_fract_y
_atom_site_fract_z
Ho1 0.000 0.000 0.000
Sc1 0.000 0.000 0.264
Zn1 0.000 0.500 0.123
# Formation energy from the elements in kJ/mol of atoms: -13
# Size of the total moment in μB per formula unit: 0.00
# Density of states at the Fermi level in states/eV/cell: 8.98
# Mass density in g/cm3: 5.751

Entry 9:
# HoSc5Zn6 (PBE, relaxed)
data_HoSc5Zn6
_chemical_formula_sum 'Ho2 Sc10 Zn12'
_space_group_name_H-M_alt 'I m m m'
_space_group_IT_number 71
_space_group_name_Hall '-I 2 2'
_cell_length_a 4.772
_cell_length_b 6.810
_cell_length_c 14.329
_cell_angle_alpha 90.00
_cell_angle_beta 90.00
_cell_angle_gamma 90.00
loop_
_atom_site_label
_atom_site_fract_x
_atom_site_fract_y
_atom_site_fract_z
Ho1 0.000 0.000 0.000
Sc1 0.000 0.000 0.332
Sc2 0.000 0.500 0.000
Sc3 0.000 0.500 0.335
Zn1 0.000 0.234 0.500
Zn2 0.000 0.258 0.170
# Formation energy from the elements in kJ/mol of atoms: -35
# Size of the total moment in μB per formula unit: 0.00
# Density of states at the Fermi level in states/eV/cell: 22.96
# Mass density in g/cm3: 5.578

Entry 10:
# HoScZn (PBE, relaxed)
data_HoScZn
_chemical_formula_sum 'Ho4 Sc4 Zn4'
_space_group_name_H-M_alt 'P n m a'
_space_group_IT_number 62
_space_group_name_Hall '-P 2ac 2n'
_cell_length_a 9.622
_cell_length_b 4.749
_cell_length_c 6.773
_cell_angle_alpha 90.00
_cell_angle_beta 90.00
_cell_angle_gamma 90.00
loop_
_atom_site_label
_atom_site_fract_x
_atom_site_fract_y
_atom_site_fract_z
Ho1 0.137 0.250 0.002
Sc1 0.111 0.250 0.502
Zn1 0.122 0.750 0.749
# Formation energy from the elements in kJ/mol of atoms: 3
# Size of the total moment in μB per formula unit: 0.00
# Density of states at the Fermi level in states/eV/cell: 13.18
# Mass density in g/cm3: 5.909

Entry 11:
# Ho2ScZn (PBE, relaxed)
data_Ho2ScZn
_chemical_formula_sum 'Ho2 Sc1 Zn1'
_space_group_name_H-M_alt 'P 4/m m m'
_space_group_IT_number 123
_space_group_name_Hall '-P 4 2'
_cell_length_a 3.500
_cell_length_b 3.500
_cell_length_c 8.230
_cell_angle_alpha 90.00
_cell_angle_beta 90.00
_cell_angle_gamma 90.00
loop_
_atom_site_label
_atom_site_fract_x
_atom_site_fract_y
_atom_site_fract_z
Ho1 0.000 0.000 0.218
Sc1 0.500 0.500 0.500
Zn1 0.500 0.500 0.000
# Formation energy from the elements in kJ/mol of atoms: -14
# Size of the total moment in μB per formula unit: 0.00
# Density of states at the Fermi level in states/eV/cell: 4.39
# Mass density in g/cm3: 7.249

Entry 12:
# Ho2ScZn2 (PBE, relaxed)
data_Ho2ScZn2
_chemical_formula_sum 'Ho8 Sc4 Zn8'
_space_group_name_H-M_alt 'C m c m'
_space_group_IT_number 63
_space_group_name_Hall '-C 2c 2'
_cell_length_a 3.528
_cell_length_b 25.846
_cell_length_c 4.960
_cell_angle_alpha 90.00
_cell_angle_beta 90.00
_cell_angle_gamma 90.00
loop_
_atom_site_label
_atom_site_fract_x
_atom_site_fract_y
_atom_site_fract_z
Ho1 0.000 0.045 0.250
Ho2 0.000 0.232 0.250
Sc1 0.000 0.145 0.750
Zn1 0.000 0.361 0.750
Zn2 0.000 0.445 0.250
# Formation energy from the elements in kJ/mol of atoms: -24
# Size of the total moment in μB per formula unit: 0.00
# Density of states at the Fermi level in states/eV/cell: 17.57
# Mass density in g/cm3: 7.427